No. 1
An optimized crystal structure of Si2BiAs, computed with GGA-PBEsol.

Cell and atoms, written as CIF:
```
data_Si2BiAs
_space_group_name_H-M_alt 'F m -3 m'
_space_group_IT_number 225
_space_group_name_Hall '-F 4 2 3'
_cell_length_a 6.830
_cell_length_b 6.830
_cell_length_c 6.830
_cell_angle_alpha 90.00
_cell_angle_beta 90.00
_cell_angle_gamma 90.00
loop_
_atom_site_label
_atom_site_type_symbol
_atom_site_fract_x
_atom_site_fract_y
_atom_site_fract_z
_atom_site_occupancy
Si1 Si 0.250 0.250 0.250 1
Bi1 Bi 0.000 0.000 0.000 1
As1 As 0.000 0.000 0.500 1
```

Computed properties:
* polymorph energy (0 for the lowest one): 0.140 eV/atom
* E_tot: -4.683 eV per atom
* uncorrected formation energy: 0.538 eV per atom
* DOS(E_F): 7.90 states/eV/cell

***

No. 2
An optimized crystal structure of FeHgRh2, computed with GGA-PBEsol.

Cell and atoms, written as CIF:
```
data_FeHgRh2
_space_group_name_H-M_alt 'P 4/m m m'
_space_group_IT_number 123
_space_group_name_Hall '-P 4 2'
_cell_length_a 2.985
_cell_length_b 2.985
_cell_length_c 6.601
_cell_angle_alpha 90.00
_cell_angle_beta 90.00
_cell_angle_gamma 90.00
loop_
_atom_site_label
_atom_site_type_symbol
_atom_site_fract_x
_atom_site_fract_y
_atom_site_fract_z
_atom_site_occupancy
Fe1 Fe 0.000 0.000 0.000 1
Hg1 Hg 0.000 0.000 0.500 1
Rh1 Rh 0.500 0.500 0.214 1
```

Computed properties:
* energy of formation from the pure elements: 0.181 eV per formula unit
* E_tot: -6.406 eV per atom
* DOS(E_F): 2.18 states/eV/cell

***

No. 3
An optimized crystal structure of BiSbO3, computed with GGA-PBEsol.

Cell and atoms, written as CIF:
```
data_BiSbO3
_space_group_name_H-M_alt 'R -3'
_space_group_IT_number 148
_space_group_name_Hall '-R 3'
_cell_length_a 6.2923
_cell_length_b 6.2923
_cell_length_c 13.4905
_cell_angle_alpha 90.00
_cell_angle_beta 90.00
_cell_angle_gamma 120.00
loop_
_atom_site_label
_atom_site_type_symbol
_atom_site_fract_x
_atom_site_fract_y
_atom_site_fract_z
_atom_site_occupancy
Bi1 Bi 0.0000 0.0000 0.1300 1
Sb1 Sb 0.0000 0.0000 0.3596 1
O1 O 0.0170 0.2543 0.7440 1
```

Computed properties:
* E_tot: -6.141 eV per atom
* uncorrected formation energy: -1.223 eV per atom
* DOS(E_F): 0.00 states/eV/cell

***

No. 4
An optimized crystal structure of ScFe3, computed with GGA-PBEsol.

Cell and atoms, written as CIF:
```
data_ScFe3
_space_group_name_H-M_alt 'P -6 m 2'
_space_group_IT_number 187
_space_group_name_Hall 'P -6 2'
_cell_length_a 2.7917
_cell_length_b 2.7917
_cell_length_c 7.6941
_cell_angle_alpha 90.00
_cell_angle_beta 90.00
_cell_angle_gamma 120.00
loop_
_atom_site_label
_atom_site_type_symbol
_atom_site_fract_x
_atom_site_fract_y
_atom_site_fract_z
_atom_site_occupancy
Sc1 Sc 0.0000 0.0000 0.0000 1
Fe1 Fe 0.0000 0.0000 0.5000 1
Fe2 Fe 0.3333 0.6667 0.2812 1
```

Computed properties:
* energy of formation from the pure elements: 1.572 eV per formula unit
* E_tot: -7.981 eV per atom
* DOS(E_F): 4.22 states/eV/cell

***

No. 5
An optimized crystal structure of MnOF, computed with GGA-PBEsol.

Cell and atoms, written as CIF:
```
data_MnOF
_space_group_name_H-M_alt 'P -1'
_space_group_IT_number 2
_space_group_name_Hall '-P 1'
_cell_length_a 4.510
_cell_length_b 5.550
_cell_length_c 7.664
_cell_angle_alpha 85.52
_cell_angle_beta 88.55
_cell_angle_gamma 87.63
loop_
_atom_site_label
_atom_site_type_symbol
_atom_site_fract_x
_atom_site_fract_y
_atom_site_fract_z
_atom_site_occupancy
Mn1 Mn 0.000 0.000 0.000 1
Mn2 Mn 0.018 0.329 0.648 1
Mn3 Mn 0.477 0.156 0.313 1
Mn4 Mn 0.500 0.500 0.000 1
O1 O 0.197 0.043 0.767 1
O2 O 0.205 0.378 0.429 1
O3 O 0.304 0.216 0.092 1
F1 F 0.224 0.702 0.134 1
F2 F 0.271 0.538 0.786 1
F3 F 0.302 0.863 0.460 1
```

Computed properties:
* E_tot: -7.535 eV per atom
* uncorrected formation energy: -1.889 eV per atom
* DOS(E_F): 4.35 states/eV/cell

***

No. 6
An optimized crystal structure of LiVPH4O7, computed with GGA-PBEsol.

Cell and atoms, written as CIF:
```
data_LiVPH4O7
_space_group_name_H-M_alt 'C m c e'
_space_group_IT_number 64
_space_group_name_Hall '-C 2ac 2'
_cell_length_a 8.973
_cell_length_b 9.029
_cell_length_c 12.405
_cell_angle_alpha 90.00
_cell_angle_beta 90.00
_cell_angle_gamma 90.00
loop_
_atom_site_label
_atom_site_type_symbol
_atom_site_fract_x
_atom_site_fract_y
_atom_site_fract_z
_atom_site_occupancy
Li1 Li 0.000 0.126 0.056 1
V1 V 0.000 0.121 0.705 1
P1 P 0.250 0.128 0.250 1
H1 H 0.085 0.138 0.459 1
H2 H 0.229 0.013 0.936 1
O1 O 0.000 0.106 0.833 1
O2 O 0.000 0.162 0.507 1
O3 O 0.148 0.222 0.177 1
O4 O 0.158 0.031 0.330 1
O5 O 0.163 0.000 0.000 1
```

Computed properties:
* E_tot: -6.584 eV per atom

***

No. 7
An optimized crystal structure of BaMgCd, computed with GGA-PBEsol.

Cell and atoms, written as CIF:
```
data_BaMgCd
_space_group_name_H-M_alt 'P -6 m 2'
_space_group_IT_number 187
_space_group_name_Hall 'P -6 2'
_cell_length_a 5.2859
_cell_length_b 5.2859
_cell_length_c 3.9828
_cell_angle_alpha 90.00
_cell_angle_beta 90.00
_cell_angle_gamma 120.00
loop_
_atom_site_label
_atom_site_type_symbol
_atom_site_fract_x
_atom_site_fract_y
_atom_site_fract_z
_atom_site_occupancy
Ba1 Ba 0.0000 0.0000 0.0000 1
Mg1 Mg 0.6667 0.3333 0.5000 1
Cd1 Cd 0.3333 0.6667 0.5000 1
```

Computed properties:
* energy of formation from the pure elements: -0.529 eV per formula unit
* E_tot: -1.864 eV per atom
* DOS(E_F): 2.35 states/eV/cell

***

No. 8
An optimized crystal structure of NaCrSe2, computed with GGA-PBEsol.

Cell and atoms, written as CIF:
```
data_NaCrSe2
_space_group_name_H-M_alt 'R -3 m'
_space_group_IT_number 166
_space_group_name_Hall '-R 3 2"'
_cell_length_a 3.7182
_cell_length_b 3.7182
_cell_length_c 20.2252
_cell_angle_alpha 90.00
_cell_angle_beta 90.00
_cell_angle_gamma 120.00
loop_
_atom_site_label
_atom_site_type_symbol
_atom_site_fract_x
_atom_site_fract_y
_atom_site_fract_z
_atom_site_occupancy
Na1 Na 0.0000 0.0000 0.0000 1
Cr1 Cr 0.0000 0.0000 0.5000 1
Se1 Se 0.0000 0.0000 0.2328 1
```

Computed properties:
* E_tot: -5.596 eV per atom
* uncorrected formation energy: -0.760 eV per atom

***

No. 9
An optimized crystal structure of TlSi2Pb, computed with GGA-PBEsol.

Cell and atoms, written as CIF:
```
data_TlSi2Pb
_space_group_name_H-M_alt 'P 1 m 1'
_space_group_IT_number 6
_space_group_name_Hall 'P -2y'
_cell_length_a 4.746
_cell_length_b 3.673
_cell_length_c 5.833
_cell_angle_alpha 90.00
_cell_angle_beta 113.31
_cell_angle_gamma 90.00
loop_
_atom_site_label
_atom_site_type_symbol
_atom_site_fract_x
_atom_site_fract_y
_atom_site_fract_z
_atom_site_occupancy
Tl1 Tl 0.000 0.000 0.000 1
Si1 Si 0.228 0.000 0.555 1
Si2 Si 0.436 0.500 0.831 1
Pb1 Pb 0.666 0.500 0.390 1
```

Computed properties:
* polymorph energy (0 for the lowest one): 0.000 eV/atom
* E_tot: -4.248 eV per atom
* uncorrected formation energy: 0.283 eV per atom
* DOS(E_F): 1.63 states/eV/cell

***

No. 10
An optimized crystal structure of Ag4Te3, computed with GGA-PBEsol.

Cell and atoms, written as CIF:
```
data_Ag4Te3
_space_group_name_H-M_alt 'I 4/m m m'
_space_group_IT_number 139
_space_group_name_Hall '-I 4 2'
_cell_length_a 3.754
_cell_length_b 3.754
_cell_length_c 22.800
_cell_angle_alpha 90.00
_cell_angle_beta 90.00
_cell_angle_gamma 90.00
loop_
_atom_site_label
_atom_site_type_symbol
_atom_site_fract_x
_atom_site_fract_y
_atom_site_fract_z
_atom_site_occupancy
Ag1 Ag 0.000 0.000 0.062 1
Ag2 Ag 0.000 0.000 0.370 1
Te1 Te 0.000 0.000 0.182 1
Te2 Te 0.000 0.000 0.500 1
```

Computed properties:
* E_tot: -3.348 eV per atom
* uncorrected formation energy: 0.055 eV per atom
* DOS(E_F): 4.85 states/eV/cell

***

No. 11
An optimized crystal structure of KTl2Sb, computed with GGA-PBEsol.

Cell and atoms, written as CIF:
```
data_KTl2Sb
_space_group_name_H-M_alt 'C 1 2/m 1'
_space_group_IT_number 12
_space_group_name_Hall '-C 2y'
_cell_length_a 6.794
_cell_length_b 11.624
_cell_length_c 3.265
_cell_angle_alpha 90.00
_cell_angle_beta 112.99
_cell_angle_gamma 90.00
loop_
_atom_site_label
_atom_site_type_symbol
_atom_site_fract_x
_atom_site_fract_y
_atom_site_fract_z
_atom_site_occupancy
K1 K 0.000 0.000 0.000 1
Tl1 Tl 0.250 0.250 0.500 1
Sb1 Sb 0.000 0.500 0.000 1
```

Computed properties:
* E_tot: -2.807 eV per atom
* uncorrected formation energy: -0.069 eV per atom
* DOS(E_F): 3.52 states/eV/cell

***

No. 12
An optimized crystal structure of YErSn2Pd4, computed with GGA-PBEsol.

Cell and atoms, written as CIF:
```
data_YErSn2Pd4
_space_group_name_H-M_alt 'R -3 m'
_space_group_IT_number 166
_space_group_name_Hall '-R 3 2"'
_cell_length_a 4.7071
_cell_length_b 4.7071
_cell_length_c 23.1528
_cell_angle_alpha 90.00
_cell_angle_beta 90.00
_cell_angle_gamma 120.00
loop_
_atom_site_label
_atom_site_type_symbol
_atom_site_fract_x
_atom_site_fract_y
_atom_site_fract_z
_atom_site_occupancy
Y1 Y 0.0000 0.0000 0.0000 1
Er1 Er 0.0000 0.0000 0.5000 1
Sn1 Sn 0.0000 0.0000 0.2502 1
Pd1 Pd 0.0000 0.0000 0.1260 1
Pd2 Pd 0.0000 0.0000 0.3771 1
```

Computed properties:
* energy of formation from the pure elements: -7.230 eV per formula unit
* E_tot: -6.417 eV per atom
* DOS(E_F): 11.12 states/eV/cell